1.
## Dy4GaNi2 (PBE-GGA)

Data for a relaxed structure of Dy4GaNi2.

Lattice parameters (Å, degrees): 6.708 6.749 8.374 107.98 107.66 103.76
Space group P1 (No. 1)
Asymmetric unit:
1 Dy 0.000 0.000 0.000 x1
2 Dy 0.019 0.522 0.044 x1
3 Dy 0.123 0.309 0.455 x1
4 Dy 0.405 0.265 0.873 x1
5 Dy 0.527 0.842 0.596 x1
6 Dy 0.555 0.910 0.172 x1
7 Dy 0.688 0.375 0.587 x1
8 Dy 0.955 0.769 0.452 x1
9 Ga 0.212 0.694 0.788 x1
10 Ga 0.447 0.433 0.257 x1
11 Ni 0.268 0.979 0.345 x1
12 Ni 0.595 0.648 0.854 x1
13 Ni 0.761 0.314 0.190 x1
14 Ni 0.946 0.158 0.700 x1

Properties
* calculated total energy: -5.091 eV per atom
* energy relative to the elements: -0.377 eV per atom
* N(E_F): 5.9 states/eV/f.u.

***

2.
## ErMg3In2 (PBE-GGA)

Data for a relaxed structure of ErMg3In2.

Lattice parameters (Å, degrees): 16.999 4.761 7.667 90.00 111.21 90.00
Space group C2/m (No. 12)
Asymmetric unit:
1 Er 0.114 0.000 0.180 x4
2 Mg 0.071 0.000 0.701 x4
3 Mg 0.124 0.500 0.501 x4
4 Mg 0.201 0.500 0.919 x4
5 In 0.021 0.500 0.837 x4
6 In 0.240 0.000 0.663 x4

Properties
* calculated total energy: -2.657 eV per atom
* energy relative to the elements: -0.187 eV per atom
* N(E_F): 2.2 states/eV/f.u.

***

3.
## CrMo2Ir5Rh (PBE-GGA)

Data for a relaxed structure of CrMo2Ir5Rh.

Lattice parameters (Å, degrees): 7.338 7.338 10.869 90.00 90.00 90.00
Space group I4/mcm (No. 140)
Asymmetric unit:
1 Cr 0.000 0.000 0.250 x4
2 Mo 0.113 0.387 0.000 x8
3 Ir 0.000 0.000 0.000 x4
4 Ir 0.206 0.294 0.366 x16
5 Rh 0.000 0.500 0.250 x4

Properties
* calculated total energy: -8.680 eV per atom
* energy relative to the elements: 0.536 eV per atom
* N(E_F): 10.7 states/eV/f.u.

***

4.
## Cs2Cd5Au (PBE-GGA)

Data for a relaxed structure of Cs2Cd5Au.

Lattice parameters (Å, degrees): 6.750 6.750 13.101 90.00 90.00 90.00
Space group I4mm (No. 107)
Asymmetric unit:
1 Cs 0.000 0.500 0.000 x4
2 Cd 0.000 0.000 0.372 x2
3 Cd 0.237 0.237 0.749 x8
4 Au 0.000 0.000 0.608 x2

Properties
* calculated total energy: -1.273 eV per atom
* energy relative to the elements: -0.078 eV per atom
* N(E_F): 2.9 states/eV/f.u.
* relative energy among the computed polymorphs: 15 meV per atom

***

- Look up the calculated total energy of the second one.
  -2.657 eV per atom